Record 1
Tm8Ge3Te4As: relaxed, PBE-GGA.

## Properties
- density of states at the Fermi level (states/eV per atom) = 0.207
- energy relative to the elements, uncorrected (eV per atom) = -1.227

```
data_Tm8Ge3Te4As
_cell_length_a 8.366
_cell_length_b 8.495
_cell_length_c 8.366
_cell_angle_alpha 119.50
_cell_angle_beta 120.00
_cell_angle_gamma 90.00
_symmetry_space_group_name_H-M 'P 1'
_symmetry_Int_Tables_number 1
_symmetry_space_group_name_Hall 'P 1'
loop_
_atom_site_label
_atom_site_type_symbol
_atom_site_fract_x
_atom_site_fract_y
_atom_site_fract_z
_atom_site_occupancy
Tm1 Tm 0.759 0.283 0.518 1
Tm2 Tm 0.241 0.717 0.976 1
Tm3 Tm 0.739 0.718 0.479 1
Tm4 Tm 0.264 0.283 0.024 1
Tm5 Tm 0.241 0.717 0.482 1
Tm6 Tm 0.736 0.717 0.976 1
Tm7 Tm 0.759 0.283 0.024 1
Tm8 Tm 0.261 0.282 0.521 1
Ge1 Ge 0.000 0.500 0.500 1
Ge2 Ge 0.500 0.500 0.500 1
Ge3 Ge 0.500 0.500 0.000 1
Te1 Te 0.000 0.000 0.000 1
Te2 Te 0.500 0.000 0.000 1
Te3 Te 0.000 0.000 0.500 1
Te4 Te 0.500 0.000 0.500 1
As1 As 0.000 0.500 0.000 1
```

Record 2
Tm6GeTe3As2: relaxed, PBE-GGA.

## Properties
- density of states at the Fermi level (states/eV per atom) = 0.210
- energy relative to the elements, uncorrected (eV per atom) = -1.350

```
data_Tm6GeTe3As2
_cell_length_a 7.215
_cell_length_b 7.215
_cell_length_c 7.366
_cell_angle_alpha 99.35
_cell_angle_beta 99.35
_cell_angle_gamma 120.05
_symmetry_space_group_name_H-M 'P 1'
_symmetry_Int_Tables_number 1
_symmetry_space_group_name_Hall 'P 1'
loop_
_atom_site_label
_atom_site_type_symbol
_atom_site_fract_x
_atom_site_fract_y
_atom_site_fract_z
_atom_site_occupancy
Te1 Te 0.168 0.832 0.500 1
Te2 Te 0.500 0.500 0.500 1
Te3 Te 0.832 0.168 0.500 1
Tm1 Tm 0.072 0.403 0.217 1
Tm2 Tm 0.403 0.072 0.217 1
Tm3 Tm 0.742 0.742 0.218 1
Tm4 Tm 0.258 0.258 0.782 1
Tm5 Tm 0.597 0.928 0.783 1
Tm6 Tm 0.928 0.597 0.783 1
As1 As 0.666 0.334 0.000 1
As2 As 0.334 0.666 0.000 1
Ge1 Ge 0.000 0.000 0.000 1
```